DFT (PBE-GGA) results for crystalline NpTl2Pb at its relaxed geometry.

Cell and atoms, written as POSCAR:
```
NpTl2Pb
1.0
-3.346 -2.312 -2.869
-2.115 -1.697 3.833
-2.758 3.796 0.158
Pb Tl Np
1 2 1
Direct
0.500 0.500 0.500
0.000 0.500 0.000
0.000 0.000 0.500
0.500 0.000 0.000
```

E_tot = -5.186 eV per atom
Space-group type = No. 123
Total magnetization = 4.39 μB/f.u.